Entry 1:
First-principles (PBE) data for an optimized crystal structure of KSbMo3, as listed in Alexandria via LeMat-Bulk.

Calculated values
- ρ (Mg/m³) = 5.501
- polymorph energy (0 for the lowest one) (eV per atom) = 0.000
- Fermi-level density of states (states/eV/atom) = 1.93
- total DFT energy (no corrections) (eV/cell) = -27.60
- calculated volume (A^3/atom) = 27.09

Cell: 5.1356 5.1356 5.1356 Å, 90.00 90.00 90.00°
Positions (direct):
Sb: 0.0000 0.0000 0.0000
Mo: 0.0000 0.5000 0.0000
Mo: 0.0000 0.0000 0.5000
Mo: 0.5000 0.0000 0.0000
K: 0.5000 0.5000 0.5000

=====

Entry 2:
First-principles (PBE) data for an optimized crystal structure of KSbMo, as listed in Alexandria via LeMat-Bulk.

Calculated values
- ρ (Mg/m³) = 4.951
- polymorph energy (0 for the lowest one) (eV per atom) = 0.000
- Fermi-level density of states (states/eV/atom) = 1.10
- total DFT energy (no corrections) (eV/cell) = -14.45
- calculated volume (A^3/atom) = 28.71

Cell: 6.9398 6.9398 6.9398 Å, 149.45 149.45 43.76°
Positions (direct):
K: 0.9986 0.9986 0.0000
Mo: 0.2807 0.2807 0.0000
Sb: 0.7207 0.7207 0.0000